Na3MnSi | PBE-GGA | optimized geometry

Structure (extended XYZ):
```
5
Lattice="5.484 0.000 0.000 0.000 5.484 0.000 0.000 0.000 5.484" Properties=species:S:1:pos:R:3 pbc="T T T"
Na 0.000 0.000 2.742
Na 0.000 2.742 0.000
Na 2.742 0.000 0.000
Mn 0.000 0.000 0.000
Si 2.742 2.742 2.742
```

Summary:
The value obtained for the magnetic moment is 4.0 Bohr magnetons per cell. As for the space group: No. 221. The calculated density comes out at 1.5 g cm⁻³. The density of states at the Fermi level is 0.48 states/eV per atom. As for the volume: 164.9 Å³/f.u. The value obtained for the energy above the most stable polymorph in this dataset is 1.59 eV per formula unit.


BeReAsSe2 | PBE-GGA | optimized geometry

Structure (extended XYZ):
```
5
Lattice="4.925 0.000 0.000 0.000 4.925 0.000 0.000 0.000 4.804" Properties=species:S:1:pos:R:3 pbc="T T T"
Be 0.000 0.000 0.000
Re 2.462 2.462 2.402
As 2.462 2.462 0.000
Se 0.000 2.462 2.402
Se 2.462 0.000 2.402
```

Summary:
The value obtained for the magnetic moment is 0.0 Bohr magnetons per cell. As for the space group: No. 123. The calculated density comes out at 6.1 g cm⁻³. The density of states at the Fermi level is 1.06 states/eV per atom. As for the volume: 116.5 Å³/f.u. The value obtained for the energy above the most stable polymorph in this dataset is 0.00 eV per formula unit.


Cd2SiNi | PBE-GGA | optimized geometry

Structure (extended XYZ):
```
4
Lattice="2.950 0.000 0.000 0.000 4.920 0.000 -0.309 0.000 4.790" Properties=species:S:1:pos:R:3 pbc="T T T"
Cd 0.617 0.000 1.227
Cd 2.025 0.000 3.562
Si 0.000 2.460 0.000
Ni 1.321 2.460 2.395
```

Summary:
The value obtained for the magnetic moment is 0.0 Bohr magnetons per cell. The final energy comes out at -2.95 eV/atom. As for the space group: No. 10. The calculated density comes out at 7.4 g cm⁻³. The density of states at the Fermi level is 0.37 states/eV per atom. As for the volume: 69.5 Å³/f.u.


AcNdDy2Er4 | PBE-GGA | optimized geometry

Structure (extended XYZ):
```
16
Lattice="6.872 -6.711 0.000 6.872 6.711 0.000 -3.453 0.000 5.962" Properties=species:S:1:pos:R:3 pbc="T T T"
Ac 3.436 3.355 0.000
Ac 1.710 -3.355 2.981
Nd 0.000 0.000 0.000
Nd -1.726 0.000 2.981
Dy 1.710 3.355 2.981
Dy 3.436 -3.355 0.000
Dy 6.872 0.000 0.000
Dy 5.146 0.000 2.981
Er 1.749 0.125 3.014
Er 5.102 3.303 3.056
Er 3.464 3.303 5.887
Er 3.475 -0.125 0.033
Er 6.817 0.125 5.929
Er 6.828 -3.303 0.075
Er 5.190 -3.303 2.906
Er 8.543 -0.125 2.948
```

Summary:
The value obtained for the magnetic moment is 3.2 Bohr magnetons per cell. The final energy comes out at -4.09 eV/atom. As for the space group: No. 15. The calculated density comes out at 8.2 g cm⁻³. The density of states at the Fermi level is 2.35 states/eV per atom. As for the volume: 274.9 Å³/f.u.


Na3TaHg | PBE-GGA | optimized geometry

Structure (extended XYZ):
```
5
Lattice="5.525 0.000 0.000 0.000 5.525 0.000 0.000 0.000 5.525" Properties=species:S:1:pos:R:3 pbc="T T T"
Na 0.000 0.000 2.762
Na 0.000 2.762 0.000
Na 2.762 0.000 0.000
Ta 2.762 2.762 2.762
Hg 0.000 0.000 0.000
```

Summary:
The value obtained for the magnetic moment is 4.0 Bohr magnetons per cell. As for the space group: No. 221. The calculated density comes out at 4.4 g cm⁻³. The density of states at the Fermi level is 0.80 states/eV per atom. As for the volume: 168.6 Å³/f.u. The value obtained for the energy above the most stable polymorph in this dataset is 0.00 eV per formula unit.


ScIr2Ru | PBE-GGA | optimized geometry

Structure (extended XYZ):
```
4
Lattice="3.957 0.000 0.000 0.000 3.957 0.000 0.000 0.000 3.906" Properties=species:S:1:pos:R:3 pbc="T T T"
Sc 0.000 0.000 0.000
Ir 0.000 1.978 1.953
Ir 1.978 0.000 1.953
Ru 1.978 1.978 0.000
```

Summary:
The value obtained for the magnetic moment is 0.0 Bohr magnetons per cell. As for the space group: No. 123. The calculated density comes out at 14.4 g cm⁻³. The density of states at the Fermi level is 0.98 states/eV per atom. As for the volume: 61.2 Å³/f.u. The value obtained for the energy above the most stable polymorph in this dataset is 0.00 eV per formula unit.


Li15In2Ag2 | PBE-GGA | optimized geometry

Structure (extended XYZ):
```
19
Lattice="4.102 2.368 5.851 -4.102 2.368 5.851 0.000 -4.737 5.851" Properties=species:S:1:pos:R:3 pbc="T T T"
Li -4.102 0.000 8.777
Li -1.245 -2.580 5.851
Li -2.051 1.184 2.926
Li -2.857 0.211 5.851
Li -1.500 -0.866 7.717
Li 1.245 -2.580 5.851
Li -1.611 2.368 5.851
Li 0.000 -1.732 9.838
Li -1.500 0.866 9.838
Li 2.051 1.184 2.926
Li 1.500 -0.866 7.717
Li 0.000 1.732 7.717
Li 2.857 0.211 5.851
Li 1.611 2.368 5.851
Li 1.500 0.866 9.838
In 0.000 0.000 1.623
In 0.000 0.000 15.932
Ag 0.000 0.000 5.051
Ag 0.000 0.000 12.503
```

Summary:
The value obtained for the magnetic moment is 0.0 Bohr magnetons per cell. The final energy comes out at -2.14 eV/atom. As for the space group: No. 166. The calculated density comes out at 2.7 g cm⁻³. The density of states at the Fermi level is 0.31 states/eV per atom. As for the volume: 341.1 Å³/f.u.


LuHfTlPd | PBE-GGA | optimized geometry

Structure (extended XYZ):
```
4
Lattice="0.000 3.511 3.511 3.511 0.000 3.511 3.511 3.511 0.000" Properties=species:S:1:pos:R:3 pbc="T T T"
Lu 0.000 0.000 0.000
Hf 3.511 3.511 3.511
Tl 1.756 1.756 1.756
Pd 5.267 5.267 5.267
```

Summary:
The value obtained for the magnetic moment is 0.0 Bohr magnetons per cell. The final energy comes out at -5.81 eV/atom. As for the space group: No. 216. The calculated density comes out at 12.7 g cm⁻³. The density of states at the Fermi level is 0.84 states/eV per atom. As for the volume: 86.6 Å³/f.u.


Er3PaS6 | PBE-GGA | optimized geometry

Structure (extended XYZ):
```
20
Lattice="10.945 0.000 0.000 0.000 3.882 0.000 -3.461 0.000 10.643" Properties=species:S:1:pos:R:3 pbc="T T T"
Er 0.189 0.971 1.766
Er 0.225 2.912 5.333
Er 0.544 0.971 9.784
Er 6.941 2.912 0.859
Er 7.260 0.971 5.310
Er 7.296 2.912 8.877
Pa 3.901 0.971 3.243
Pa 3.584 2.912 7.400
S -1.108 0.971 4.094
S -2.113 0.971 9.945
S 1.731 2.912 2.929
S 0.791 2.912 7.968
S 2.369 0.971 5.708
S 4.232 2.912 1.051
S 3.253 0.971 9.592
S 5.116 2.912 4.935
S 6.694 0.971 2.674
S 5.753 0.971 7.714
S 9.598 2.912 0.698
S 8.593 2.912 6.549
```

Summary:
The value obtained for the magnetic moment is 2.8 Bohr magnetons per cell. The final energy comes out at -6.74 eV/atom. As for the space group: No. 11. The calculated density comes out at 6.8 g cm⁻³. The density of states at the Fermi level is 0.52 states/eV per atom. As for the volume: 226.1 Å³/f.u.


TaCdFe | PBE-GGA | optimized geometry

Structure (extended XYZ):
```
3
Lattice="-1.534 1.534 5.333 1.534 -1.534 5.333 1.534 1.534 -5.333" Properties=species:S:1:pos:R:3 pbc="T T T"
Ta 0.000 0.000 0.000
Cd 0.000 0.000 3.117
Fe 0.000 0.000 6.612
```

Summary:
The value obtained for the magnetic moment is 1.2 Bohr magnetons per cell. As for the space group: No. 107. The calculated density comes out at 11.5 g cm⁻³. The density of states at the Fermi level is 0.71 states/eV per atom. As for the volume: 50.2 Å³/f.u. The value obtained for the energy above the most stable polymorph in this dataset is 0.00 eV per formula unit.


AlIn3 | PBE-GGA | optimized geometry

Structure (extended XYZ):
```
8
Lattice="5.885 0.000 0.000 0.000 5.885 0.000 0.000 0.000 5.885" Properties=species:S:1:pos:R:3 pbc="T T T"
Al 0.000 0.000 0.000
Al 2.943 2.943 2.943
In 0.000 1.471 2.943
In 0.000 4.414 2.943
In 1.471 2.943 0.000
In 2.943 0.000 1.471
In 2.943 0.000 4.414
In 4.414 2.943 0.000
```

Summary:
The value obtained for the magnetic moment is 0.0 Bohr magnetons per cell. The final energy comes out at -2.82 eV/atom. As for the space group: No. 223. The calculated density comes out at 6.1 g cm⁻³. The density of states at the Fermi level is 0.32 states/eV per atom. As for the volume: 101.9 Å³/f.u.


Nd2Dy4Hg | PBE-GGA | optimized geometry

Structure (extended XYZ):
```
7
Lattice="8.495 -1.812 0.000 8.495 1.812 0.000 -3.703 0.000 7.235" Properties=species:S:1:pos:R:3 pbc="T T T"
Nd 3.144 0.000 0.959
Nd 10.142 0.000 6.276
Dy 0.663 0.000 3.398
Dy 6.555 0.000 1.887
Dy 6.731 0.000 5.348
Dy 12.623 0.000 3.838
Hg 0.000 0.000 0.000
```

Summary:
The value obtained for the magnetic moment is 0.0 Bohr magnetons per cell. The final energy comes out at -4.08 eV/atom. As for the space group: No. 12. The calculated density comes out at 8.5 g cm⁻³. The density of states at the Fermi level is 1.40 states/eV per atom. As for the volume: 222.8 Å³/f.u.


RbTe3Pb3 | PBE-GGA | optimized geometry

Structure (extended XYZ):
```
14
Lattice="4.848 2.799 7.266 -4.848 2.799 7.266 0.000 -5.598 7.266" Properties=species:S:1:pos:R:3 pbc="T T T"
Rb 0.000 0.000 3.638
Rb 0.000 0.000 18.159
Te -1.779 -2.478 9.011
Te -3.036 0.302 12.786
Te -1.257 2.780 9.011
Te 1.257 -2.780 12.786
Te 3.036 -0.302 9.011
Te 1.779 2.478 12.786
Pb -3.329 0.322 8.469
Pb -1.944 -2.722 13.328
Pb 1.385 -3.044 8.469
Pb -1.385 3.044 13.328
Pb 1.944 2.722 8.469
Pb 3.329 -0.322 13.328
```

Summary:
The value obtained for the magnetic moment is 0.0 Bohr magnetons per cell. As for the space group: No. 148. The calculated density comes out at 6.1 g cm⁻³. The density of states at the Fermi level is 0.22 states/eV per atom. As for the volume: 295.8 Å³/f.u. The value obtained for the energy above the most stable polymorph in this dataset is 0.00 eV per formula unit.


Cu3W | PBE-GGA | optimized geometry

Structure (extended XYZ):
```
4
Lattice="-1.285 4.483 2.310 1.285 -4.483 2.310 1.285 4.483 -2.310" Properties=species:S:1:pos:R:3 pbc="T T T"
Cu 0.000 0.000 0.000
Cu 1.285 2.168 0.562
Cu 0.000 2.315 2.872
W 0.000 4.483 0.018
```

Summary:
The value obtained for the magnetic moment is 0.0 Bohr magnetons per cell. The final energy comes out at -5.93 eV/atom. As for the space group: No. 44. The calculated density comes out at 11.7 g cm⁻³. The density of states at the Fermi level is 0.84 states/eV per atom. As for the volume: 53.2 Å³/f.u.


Ca2LaGe2 | PBE-GGA | optimized geometry

Structure (extended XYZ):
```
10
Lattice="8.822 0.000 0.000 0.000 8.822 0.000 0.000 0.000 3.540" Properties=species:S:1:pos:R:3 pbc="T T T"
Ca 1.159 3.252 0.000
Ca 3.252 7.663 0.000
Ca 5.569 1.159 0.000
Ca 7.663 5.569 0.000
La 0.000 0.000 1.770
La 4.411 4.411 1.770
Ge 1.512 5.923 1.770
Ge 2.899 1.512 1.770
Ge 5.923 7.310 1.770
Ge 7.310 2.899 1.770
```

Summary:
The value obtained for the magnetic moment is 0.0 Bohr magnetons per cell. As for the space group: No. 127. The calculated density comes out at 4.4 g cm⁻³. The density of states at the Fermi level is 0.32 states/eV per atom. As for the volume: 137.7 Å³/f.u. The value obtained for the energy above the most stable polymorph in this dataset is 0.09 eV per formula unit.


YTcW | PBE-GGA | optimized geometry

Structure (extended XYZ):
```
3
Lattice="0.000 3.205 3.205 3.205 0.000 3.205 3.205 3.205 0.000" Properties=species:S:1:pos:R:3 pbc="T T T"
Y 0.000 0.000 0.000
Tc 1.603 1.603 1.603
W 4.808 4.808 4.808
```

Summary:
The value obtained for the magnetic moment is 0.6 Bohr magnetons per cell. As for the space group: No. 216. The calculated density comes out at 9.3 g cm⁻³. The density of states at the Fermi level is 1.29 states/eV per atom. As for the volume: 65.9 Å³/f.u. The value obtained for the energy above the most stable polymorph in this dataset is 5.89 eV per formula unit.


ZrSi3Mo | PBE-GGA | optimized geometry

Structure (extended XYZ):
```
5
Lattice="4.812 0.000 0.000 0.000 4.812 0.000 0.000 0.000 4.812" Properties=species:S:1:pos:R:3 pbc="T T T"
Zr 0.000 0.000 0.000
Si 0.000 0.000 2.406
Si 0.000 2.406 0.000
Si 2.406 0.000 0.000
Mo 2.406 2.406 2.406
```

Summary:
The value obtained for the magnetic moment is 0.0 Bohr magnetons per cell. As for the space group: No. 221. The calculated density comes out at 4.0 g cm⁻³. The density of states at the Fermi level is 1.08 states/eV per atom. As for the volume: 111.4 Å³/f.u. The value obtained for the energy above the most stable polymorph in this dataset is 5.20 eV per formula unit.


K4RbNa | PBE-GGA | optimized geometry

Structure (extended XYZ):
```
6
Lattice="0.000 6.002 6.002 6.002 0.000 6.002 6.002 6.002 0.000" Properties=species:S:1:pos:R:3 pbc="T T T"
K 4.510 4.510 4.510
K 7.494 7.494 4.510
K 7.494 4.510 7.494
K 4.510 7.494 7.494
Rb 0.000 0.000 0.000
Na 9.003 9.003 9.003
```

Summary:
The value obtained for the magnetic moment is 0.0 Bohr magnetons per cell. As for the space group: No. 216. The calculated density comes out at 1.0 g cm⁻³. The density of states at the Fermi level is 0.62 states/eV per atom. As for the volume: 432.4 Å³/f.u. The value obtained for the energy above the most stable polymorph in this dataset is 0.36 eV per formula unit.


SrGa | PBE-GGA | optimized geometry

Structure (extended XYZ):
```
4
Lattice="3.706 -4.076 0.000 3.706 4.076 0.000 0.000 0.000 3.874" Properties=species:S:1:pos:R:3 pbc="T T T"
Sr 3.706 2.263 0.000
Sr 3.706 -2.263 0.000
Ga 2.248 0.000 1.937
Ga 5.165 0.000 1.937
```

Summary:
The value obtained for the magnetic moment is 0.0 Bohr magnetons per cell. The final energy comes out at -2.72 eV/atom. As for the space group: No. 65. The calculated density comes out at 4.5 g cm⁻³. The density of states at the Fermi level is 0.49 states/eV per atom. As for the volume: 58.5 Å³/f.u.


CoIr6Rh12 | PBE-GGA | optimized geometry

Structure (extended XYZ):
```
19
Lattice="4.618 2.666 3.756 -4.618 2.666 3.756 0.000 -5.332 3.756" Properties=species:S:1:pos:R:3 pbc="T T T"
Co 0.000 0.000 0.000
Ir -0.701 -2.890 4.132
Ir -2.152 2.053 4.132
Ir -2.854 -0.838 7.137
Ir 2.854 0.838 4.132
Ir 2.152 -2.053 7.137
Ir 0.701 2.890 7.137
Rh -1.523 0.284 2.123
Rh 0.515 -1.462 2.123
Rh -1.680 -0.530 4.666
Rh 1.008 1.177 2.123
Rh -0.380 -1.720 6.603
Rh 1.299 -1.189 4.666
Rh -1.299 1.189 6.603
Rh 0.380 1.720 4.666
Rh -1.008 -1.177 9.146
Rh 1.680 0.531 6.603
Rh -0.515 1.462 9.146
Rh 1.523 -0.284 9.146
```

Summary:
The value obtained for the magnetic moment is 1.4 Bohr magnetons per cell. The final energy comes out at -7.65 eV/atom. As for the space group: No. 148. The calculated density comes out at 14.6 g cm⁻³. The density of states at the Fermi level is 1.62 states/eV per atom. As for the volume: 277.5 Å³/f.u.